Entry 1:
Ti19O30 GGA-PBEsol relaxed; space group = P1; volume = 508 Å³/f.u.; energy relative to the elements, uncorrected = -2.96 eV/atom
1.0
5.0381 0.0010 0.0025
-2.5158 4.8424 -0.0028
-0.0117 -1.7366 20.8383
Ti O
19 30
Direct
0.5090 0.0433 0.9353
0.8162 0.6298 0.8372
0.4175 0.8354 0.6316
0.2856 0.5716 0.4693
0.3158 0.6318 0.3299
0.3885 0.7762 0.7714
0.1182 0.2348 0.7310
0.0882 0.1730 0.8697
0.9861 0.9725 0.5697
0.9169 0.8173 0.1284
0.0168 0.0337 0.4309
0.8829 0.7702 0.2689
0.6154 0.2292 0.2303
0.7177 0.4344 0.5315
0.6875 0.3757 0.6712
0.5850 0.1706 0.3692
0.1840 0.3658 0.1665
0.4832 0.9631 0.0679
0.2136 0.4333 0.0241
0.1642 0.7036 0.5502
0.5117 0.3579 0.8832
0.1062 0.8479 0.9049
0.6766 0.0412 0.7128
0.7387 0.1667 0.5885
0.6416 0.9119 0.8504
0.4368 0.4990 0.2495
0.9567 0.2736 0.9485
0.7619 0.9014 0.3503
0.6654 0.6418 0.6130
0.0649 0.4416 0.8118
0.8665 0.0382 0.2117
0.1301 0.5678 0.6882
0.7268 0.7651 0.4881
0.4322 0.2140 0.0146
0.2762 0.2408 0.5125
0.8737 0.4388 0.3122
0.4993 0.7649 0.9852
0.1268 0.9597 0.7859
0.3377 0.3647 0.3877
0.9427 0.5619 0.1891
0.2421 0.1063 0.6498
0.0469 0.6753 0.0591
0.5649 0.5050 0.7513
0.3635 0.0974 0.1501
0.2638 0.8392 0.4122
0.9232 0.1498 0.0866
0.3250 0.9638 0.2878
0.4838 0.6310 0.1113
0.8388 0.3024 0.4503


Entry 2:
Ti5O8 GGA-PBEsol relaxed; space group = P1; volume = 135 Å³/f.u.; energy relative to the elements, uncorrected = -2.97 eV/atom
1.0
-3.6276 -1.0755 -3.9336
-0.3605 -8.8133 1.6023
-6.6833 -2.1017 5.6086
Ti O
15 24
Direct
0.3225 0.0713 0.0684
0.7993 0.5927 0.0695
0.6964 0.1738 0.1740
0.1895 0.6721 0.1736
0.6950 0.4205 0.4224
0.8039 0.0671 0.5923
0.8106 0.8264 0.3207
0.3063 0.3244 0.3273
0.1896 0.1741 0.6732
0.8026 0.3232 0.8320
0.6962 0.6737 0.6734
0.1943 0.9260 0.4221
0.3089 0.5777 0.5775
0.3166 0.8366 0.8292
0.1927 0.4241 0.9263
0.8427 0.3778 0.0331
0.0033 0.0321 0.2160
0.3427 0.2785 0.1273
0.8367 0.7659 0.1413
0.0005 0.4660 0.2793
0.3247 0.8725 0.0335
0.6561 0.2140 0.3796
0.5004 0.5279 0.2197
0.8400 0.2810 0.6279
0.5020 0.9681 0.2800
0.6595 0.6234 0.4699
0.1477 0.1275 0.4678
0.8485 0.8742 0.5298
0.3444 0.3764 0.5295
0.0020 0.5322 0.7206
0.4908 0.0361 0.7099
0.1589 0.7206 0.3744
0.3523 0.7840 0.6244
0.4988 0.4696 0.7803
0.0235 0.9658 0.7679
0.6442 0.1397 0.9690
0.6513 0.7095 0.8716
0.1536 0.2214 0.8750
0.1589 0.6290 0.9674


Entry 3:
Ti2O3 GGA-PBEsol relaxed; space group = R-3c; volume = 51 Å³/f.u.; energy relative to the elements, uncorrected = -2.95 eV/atom
1.0
5.0473 0.0000 0.0000
2.5236 4.3711 0.0000
2.5236 1.4570 4.6349
O Ti
6 4
Direct
0.7500 0.0614 0.7500
0.2500 0.9386 0.2500
0.5614 0.2500 0.2500
0.4386 0.7500 0.7500
0.0614 0.4386 0.7500
0.9386 0.5614 0.2500
0.6543 0.6543 0.0371
0.8457 0.8457 0.4629
0.3457 0.3457 0.9629
0.1543 0.1543 0.5371


Entry 4:
Ti3O GGA-PBEsol relaxed; space group = P312; volume = 53 Å³/f.u.; energy relative to the elements, uncorrected = -1.45 eV/atom
1.0
5.0968 0.0000 0.0000
-2.5484 4.4139 0.0000
0.0000 0.0000 14.1039
Ti O
18 6
Direct
0.3381 0.9995 0.7450
0.3379 0.9999 0.0791
0.3328 0.3278 0.5879
0.3328 0.0051 0.4121
0.6620 0.9999 0.9209
0.3379 0.3380 0.9209
0.6620 0.6621 0.0791
0.0005 0.6619 0.2550
0.9949 0.6672 0.5879
0.0005 0.3385 0.7450
0.6615 0.6619 0.7450
0.9949 0.3278 0.4121
0.3381 0.3385 0.2550
0.0001 0.3380 0.0791
0.0001 0.6621 0.9209
0.6615 0.9995 0.2550
0.6722 0.6672 0.4121
0.6722 0.0051 0.5879
0.6667 0.3333 0.8331
0.3333 0.6667 0.1670
0.3333 0.6667 0.8330
0.6667 0.3333 0.1669
0.0000 0.0000 0.5000
0.6667 0.3333 0.5000


> Which of these has the highest energy relative to the elements, uncorrected?

Ti3O